This record from Alexandria describes a relaxed LaSbRh2 crystal. The functional is PBEsol.

The structure belongs to space group C2/m (No. 12); the cell edges are 6.5283, 6.4798 and 3.6493 Å and the angles 90.00°, 90.32° and 90.00°. The asymmetric unit holds La at (0.0000, 0.0000, 0.0000), Sb at (0.0000, 0.5000, 0.0000) and Rh at (0.2500, 0.2500, 0.5000).

The formation energy without anion corrections is -53.02 kJ per mole of atoms. Its total energy is -56.757 eV for the cell shown.

***

This record from Alexandria describes a relaxed LaScRh crystal. The functional is PBEsol.

The structure belongs to space group P3m1 (No. 156); the cell edges are 3.9851, 3.9851 and 5.6955 Å and the angles 90.00°, 90.00° and 120.00°. The asymmetric unit holds La at (0.0000, 0.0000, 0.0000), Sc at (0.6667, 0.3333, 0.5083) and Rh at (0.3333, 0.6667, 0.7103).

The calculation puts the formation enthalpy at 0 K at -0.381 eV per atom. Its total energy is -21.234 eV for the cell shown.

***

Number 1: ρ 10.04 g/cm3. Number 2: ρ 6.08 g/cm3.